Material: CdCo3Hg
Method: DFT, GGA-PBE
State: optimized geometry

Cell: 4.7316 4.7316 4.7316 Å, 90.00 90.00 90.00°
Closest atoms and distances in Å follow each position.
Fractional positions:
Cd: 0.0000 0.0000 0.0000  6 Co 2.37
Co: 0.0000 0.0000 0.5000  2 Cd 2.37
Co: 0.0000 0.5000 0.0000  2 Cd 2.37
Co: 0.5000 0.0000 0.0000  2 Cd 2.37
Hg: 0.5000 0.5000 0.5000  12 Co 3.35

## Properties
E_form: 1.57 eV per atom
space-group type: No. 221
D(E_F): 8.4 states/eV/f.u.
total moment: 5.28 μB/f.u.